The following is a PBE calculation of a relaxed V2Ni5H2 crystal, from Alexandria via LeMat-Bulk.

Summary:
- DOS at the Fermi energy: 6.47 states/eV/cell
- Energy: -6.126 eV per atom

Geometry as POSCAR:
```
V2Ni5H2
1.0
4.1118 -1.8020 0.0000
4.1118 1.8020 0.0000
-0.6014 0.0000 5.6903
V Ni H
2 5 2
direct
0.0717 0.0717 0.2057
0.9283 0.9283 0.7943
0.2104 0.2104 0.6463
0.3597 0.3597 0.0668
0.5000 0.5000 0.5000
0.6403 0.6403 0.9332
0.7896 0.7896 0.3537
0.3028 0.3028 0.3668
0.6972 0.6972 0.6332
```